The following is a DFT calculation (GGA-PBEsol) of a geometry-optimized SiMo2Se structure.

a = 3.098 Å, b = 3.963 Å, c = 4.969 Å
α = 90.00°, β = 90.00°, γ = 90.00°
Space group Pmmm (No. 47)
Inequivalent atoms, fractional coordinates:
Si 0.000 0.000 0.000 x1
Mo 0.000 0.500 0.500 x1
Mo 0.500 0.500 0.000 x1
Se 0.500 0.000 0.500 x1

E above lowest polymorph   0.000 eV per atom
N(E_F)   3.39 states/eV per cell
Raw formation energy   1.0 eV/f.u.
Total magnetization   0.0 μB/f.u.

The following is a DFT calculation (GGA-PBEsol) of a geometry-optimized Si2MoSe structure.

a = 4.819 Å, b = 4.819 Å, c = 5.218 Å
α = 90.00°, β = 90.00°, γ = 90.00°
Space group I-4m2 (No. 119)
Inequivalent atoms, fractional coordinates:
Si 0.000 0.000 0.000 x2
Si 0.000 0.500 0.250 x2
Mo 0.000 0.500 0.750 x2
Se 0.000 0.000 0.500 x2

N(E_F)   6.12 states/eV per cell
Raw formation energy   1.2 eV/f.u.
Total magnetization   0.0 μB/f.u.